[1]
# GGA-PBE Pr6Er5Th, relaxed
# - energy of formation from the pure elements (kJ/mol of formula units) = 39
# - calculated total energy (hartree per atom) = -0.179
# - size of the total moment (μB/f.u.) = 0.00
data_Pr6Er5Th
_cell_length_a 5.150
_cell_length_b 10.169
_cell_length_c 15.358
_cell_angle_alpha 90.00
_cell_angle_beta 90.00
_cell_angle_gamma 90.00
_symmetry_space_group_name_H-M 'I m m m'
_symmetry_Int_Tables_number 71
_symmetry_space_group_name_Hall '-I 2 2'
loop_
_atom_site_label
_atom_site_type_symbol
_atom_site_fract_x
_atom_site_fract_y
_atom_site_fract_z
Pr1 Pr 0.000 0.249 0.000
Pr2 Pr 0.000 0.250 0.335
Er1 Er 0.000 0.000 0.164
Er2 Er 0.000 0.000 0.500
Er3 Er 0.000 0.500 0.168
Th1 Th 0.000 0.500 0.500

[2]
# GGA-PBE Pr2Er5Th, relaxed
# - energy of formation from the pure elements (kJ/mol of formula units) = 25
# - calculated total energy (hartree per atom) = -0.182
# - size of the total moment (μB/f.u.) = 0.00
data_Pr2Er5Th
_cell_length_a 7.110
_cell_length_b 14.258
_cell_length_c 5.080
_cell_angle_alpha 90.00
_cell_angle_beta 90.00
_cell_angle_gamma 90.00
_symmetry_space_group_name_H-M 'P b a m'
_symmetry_Int_Tables_number 55
loop_
_symmetry_equiv_pos_as_xyz
'x,y,z'
'-x,-y,-z'
'-x,-y,z'
'x,y,-z'
'x+1/2,-y+1/2,-z'
'-x+1/2,y+1/2,z'
'-x+1/2,y+1/2,-z'
'x+1/2,-y+1/2,z'
loop_
_atom_site_label
_atom_site_type_symbol
_atom_site_fract_x
_atom_site_fract_y
_atom_site_fract_z
Pr1 Pr 0.249 0.124 0.000
Er1 Er 0.000 0.000 0.500
Er2 Er 0.008 0.749 0.500
Er3 Er 0.239 0.377 0.000
Th1 Th 0.000 0.500 0.500

[3]
# GGA-PBE Pr2ErTh, relaxed
# - energy of formation from the pure elements (kJ/mol of formula units) = 22
# - calculated total energy (hartree per atom) = -0.196
# - size of the total moment (μB/f.u.) = 0.00
data_Pr2ErTh
_cell_length_a 12.550
_cell_length_b 7.227
_cell_length_c 6.297
_cell_angle_alpha 90.00
_cell_angle_beta 109.09
_cell_angle_gamma 90.00
_symmetry_space_group_name_H-M 'C 1 2/c 1'
_symmetry_Int_Tables_number 15
loop_
_symmetry_equiv_pos_as_xyz
'x,y,z'
'-x,-y,-z'
'-x,y,-z+1/2'
'x,-y,z+1/2'
'x+1/2,y+1/2,z'
'-x+1/2,-y+1/2,-z'
'-x+1/2,y+1/2,-z+1/2'
'x+1/2,-y+1/2,z+1/2'
loop_
_atom_site_label
_atom_site_type_symbol
_atom_site_fract_x
_atom_site_fract_y
_atom_site_fract_z
Pr1 Pr 0.249 0.128 0.250
Er1 Er 0.000 0.372 0.250
Th1 Th 0.000 0.115 0.750